# 1
5
Lattice="-0.623 3.314 -5.823 -0.339 -5.856 -3.297 -6.041 -0.011 0.640" Properties=species:S:1:pos:R:3 comment="PBE RbP2CS, relaxed" spacegroup=P4/mmm formation_energy_uncorrected_mev_per_atom=3106 total_energy_ev_per_atom=-1.922 de_polymorph_kj_per_mol_atoms=192.1 pbc="T T T"
S -3.020 -0.005 0.320
Rb 0.000 0.000 0.000
P -0.169 -2.928 -1.648
P -0.311 1.657 -2.911
C -3.501 -1.276 -4.240

=====

# 2
12
Lattice="-3.715 -4.098 -3.749 4.217 -3.954 3.352 -4.019 -0.473 4.499" Properties=species:S:1:pos:R:3 comment="PBE CaMg2Zn3, relaxed" spacegroup=Cmcm total_energy_ev_per_atom=-1.644 e_form_ev_per_atom=-0.1423 de_polymorph_kj_per_mol_atoms=0.2 pbc="T T T"
Ca -0.670 -5.482 0.860
Ca -2.847 -3.043 3.242
Zn -2.535 -8.045 2.995
Zn 0.179 -2.539 1.928
Zn -1.884 -2.577 0.081
Zn -1.633 -5.948 4.021
Zn -0.982 -0.479 1.107
Zn -3.696 -5.985 2.174
Mg -4.016 -4.303 0.029
Mg 2.509 -3.985 1.823
Mg 0.499 -4.221 4.072
Mg -2.007 -4.067 -2.220